(1)
{"formula": "Sm4PtAuS2", "functional": "PBE", "state": "relaxed", "space_group": "P2/m, No. 10", "raw_formation_energy_ev_per_atom": -1.41, "crystal_system": "monoclinic", "vol_a3_per_atom": 25.1, "cell": [[4.0230, 0.0000, 0.0000], [0.0000, 7.4932, -0.3424], [0.0000, 2.4537, 6.5510]], "species": ["Sm", "Sm", "Sm", "Sm", "Pt", "Au", "S", "S"], "frac_coords": [[0.5000, 0.2427, 0.7598], [0.0000, 0.2488, 0.2444], [0.0000, 0.7513, 0.7556], [0.5000, 0.7573, 0.2402], [0.5000, 0.5000, 0.0000], [0.0000, 0.5000, 0.5000], [0.5000, 0.0000, 0.5000], [0.0000, 0.0000, 0.0000]]}

---

(2)
{"formula": "SnPtAuS2", "functional": "PBE", "state": "relaxed", "space_group": "P4/mmm, No. 123", "raw_formation_energy_ev_per_atom": 1.09, "crystal_system": "tetragonal", "vol_a3_per_atom": 25.2, "cell": [[4.8921, 0.0000, 0.0000], [0.0000, 5.2669, 0.0000], [0.0000, 0.0000, 4.8921]], "species": ["Sn", "Au", "S", "S", "Pt"], "frac_coords": [[0.0000, 0.0000, 0.0000], [0.0000, 0.5000, 0.0000], [0.5000, 0.0000, 0.0000], [0.0000, 0.0000, 0.5000], [0.5000, 0.5000, 0.5000]]}

---

(3)
{"formula": "Tb4PtAuS2", "functional": "PBE", "state": "relaxed", "space_group": "P2/m, No. 10", "raw_formation_energy_ev_per_atom": -1.45, "crystal_system": "monoclinic", "vol_a3_per_atom": 23.8, "cell": [[-1.3305, 3.4575, -1.3298], [-6.7362, -1.5680, 2.6628], [-0.3118, 2.3513, 6.4255]], "species": ["Tb", "Tb", "Tb", "Tb", "Pt", "S", "S", "Au"], "frac_coords": [[0.5000, 0.2434, 0.7592], [0.0000, 0.2494, 0.2442], [0.5000, 0.7566, 0.2408], [0.0000, 0.7506, 0.7558], [0.5000, 0.5000, 0.0000], [0.5000, 0.0000, 0.5000], [0.0000, 0.0000, 0.0000], [0.0000, 0.5000, 0.5000]]}

---

(4)
{"formula": "Th4PtAuS2", "functional": "PBE", "state": "relaxed", "space_group": "P2/m, No. 10", "raw_formation_energy_ev_per_atom": -1.27, "crystal_system": "monoclinic", "vol_a3_per_atom": 26.0, "cell": [[-3.3178, -1.8068, 1.6733], [-1.7522, -2.8739, -6.5772], [3.1700, -6.4154, -0.6416]], "species": ["Au", "S", "S", "Th", "Th", "Th", "Th", "Pt"], "frac_coords": [[0.0000, 0.5000, 0.5000], [0.5000, 0.0000, 0.5000], [0.0000, 0.0000, 0.0000], [0.0000, 0.2475, 0.2428], [0.5000, 0.7632, 0.2376], [0.0000, 0.7525, 0.7572], [0.5000, 0.2368, 0.7624], [0.5000, 0.5000, 0.0000]]}

---

(5)
{"formula": "SbPtAu2", "functional": "PBE", "state": "relaxed", "space_group": "P4mm, No. 99", "raw_formation_energy_ev_per_atom": -0.07, "crystal_system": "tetragonal", "vol_a3_per_atom": 19.3, "cell": [[-2.1937, 0.3771, -2.9354], [2.0316, -2.4613, -1.8344], [-3.3264, -4.1966, 1.9468]], "species": ["Au", "Au", "Sb", "Pt"], "frac_coords": [[0.0000, 0.0000, 0.0289], [0.5000, 0.5000, 0.2334], [0.5000, 0.5000, 0.7151], [0.0000, 0.0000, 0.5226]]}

---

(6)
{"formula": "SbPt2Au", "functional": "PBE", "state": "relaxed", "space_group": "R3m, No. 160", "raw_formation_energy_ev_per_atom": -0.03, "crystal_system": "trigonal", "vol_a3_per_atom": 19.9, "cell": [[-2.7356, 5.1216, -1.2100], [-3.5671, 2.3426, -4.1190], [-5.4989, 2.1664, -0.4977]], "species": ["Au", "Pt", "Pt", "Sb"], "frac_coords": [[0.7433, 0.7433, 0.7433], [0.2527, 0.2527, 0.2527], [0.9944, 0.9944, 0.9944], [0.5096, 0.5096, 0.5096]]}

---

(7)
{"formula": "Sb2Pt2Au", "functional": "PBE", "state": "relaxed", "space_group": "P4/mbm, No. 127", "de_polymorph_ev_per_fu": 0.000, "raw_formation_energy_ev_per_atom": -0.16, "crystal_system": "tetragonal", "vol_a3_per_atom": 20.3, "cell": [[7.3999, 0.0000, 0.0000], [0.0000, 7.3999, 0.0000], [0.0000, 0.0000, 3.7038]], "species": ["Sb", "Sb", "Sb", "Sb", "Pt", "Pt", "Pt", "Pt", "Au", "Au"], "frac_coords": [[0.8365, 0.3365, 0.5000], [0.1635, 0.6635, 0.5000], [0.3365, 0.1635, 0.5000], [0.6635, 0.8365, 0.5000], [0.1392, 0.3608, 0.0000], [0.8608, 0.6392, 0.0000], [0.3608, 0.8608, 0.0000], [0.6392, 0.1392, 0.0000], [0.5000, 0.5000, 0.0000], [0.0000, 0.0000, 0.0000]]}

---

(8)
{"formula": "Sb2Pt2Au", "functional": "PBE", "state": "relaxed", "space_group": "I4/mmm, No. 139", "de_polymorph_ev_per_fu": 1.288, "raw_formation_energy_ev_per_atom": 0.10, "crystal_system": "tetragonal", "vol_a3_per_atom": 23.1, "cell": [[4.7652, 0.0000, 0.0000], [0.0000, 4.7652, 0.0000], [2.3826, 2.3826, 5.0933]], "species": ["Sb", "Sb", "Pt", "Pt", "Au"], "frac_coords": [[0.2500, 0.7500, 0.5000], [0.7500, 0.2500, 0.5000], [0.6283, 0.6283, 0.7433], [0.3717, 0.3717, 0.2567], [0.0000, 0.0000, 0.0000]]}